Entry from Alexandria via LeMat-Bulk: a relaxed structure of GaNi9As2 (PBE).

Output
DFT formation energy   -0.23 eV/atom

The structure in CIF format:
```
data_GaNi9As2
_cell_length_a 3.585
_cell_length_b 3.585
_cell_length_c 10.760
_cell_angle_alpha 90.00
_cell_angle_beta 90.00
_cell_angle_gamma 90.00
_space_group_name_H-M_alt 'P 4/m m m'
_space_group_IT_number 123
_space_group_name_Hall '-P 4 2'
loop_
_atom_site_label
_atom_site_fract_x
_atom_site_fract_y
_atom_site_fract_z
_atom_site_occupancy
Ga1 0.000 0.000 0.000 1
Ni1 0.000 0.500 0.168 1
Ni2 0.000 0.500 0.500 1
Ni3 0.500 0.500 0.000 1
Ni4 0.500 0.500 0.336 1
As1 0.000 0.000 0.329 1
```

***

Entry from Alexandria via LeMat-Bulk: a relaxed structure of TiPO2 (PBE).

Output
E_form (uncorrected)   -1.363 eV/atom

The structure in CIF format:
```
data_TiPO2
_cell_length_a 5.821
_cell_length_b 5.821
_cell_length_c 8.338
_cell_angle_alpha 90.00
_cell_angle_beta 90.00
_cell_angle_gamma 90.00
_space_group_name_H-M_alt 'I -4 2 d'
_space_group_IT_number 122
_space_group_name_Hall 'I -4 2bw'
loop_
_atom_site_label
_atom_site_fract_x
_atom_site_fract_y
_atom_site_fract_z
_atom_site_occupancy
Ti1 0.000 0.000 0.000 1
P1 0.000 0.000 0.500 1
O1 0.043 0.250 0.125 1
```

***

Entry from Alexandria via LeMat-Bulk: a relaxed structure of Ac4NdPb (PBE).

Output
DFT formation energy   0.30 eV/atom

The structure in CIF format:
```
data_Ac4NdPb
_cell_length_a 12.262
_cell_length_b 12.262
_cell_length_c 7.742
_cell_angle_alpha 90.00
_cell_angle_beta 90.00
_cell_angle_gamma 90.00
_space_group_name_H-M_alt 'I 41 m d'
_space_group_IT_number 109
_space_group_name_Hall 'I 4bw -2'
loop_
_atom_site_label
_atom_site_fract_x
_atom_site_fract_y
_atom_site_fract_z
_atom_site_occupancy
Ac1 0.000 0.229 0.000 1
Ac2 0.000 0.231 0.497 1
Nd1 0.000 0.000 0.787 1
Pb1 0.000 0.000 0.263 1
```

***

Entry from Alexandria via LeMat-Bulk: a relaxed structure of In2BOs (PBE).

Output
DFT formation energy   0.67 eV/atom

The structure in CIF format:
```
data_In2BOs
_cell_length_a 9.278
_cell_length_b 9.278
_cell_length_c 4.105
_cell_angle_alpha 90.00
_cell_angle_beta 90.00
_cell_angle_gamma 90.00
_space_group_name_H-M_alt 'I 41/a m d'
_space_group_IT_number 141
loop_
_space_group_symop_operation_xyz
'x,y,z'
'-x,-y,-z'
'-y+1/4,x+3/4,z+1/4'
'y+1/4,-x+3/4,-z+1/4'
'-x+1/2,-y,z+1/2'
'x+1/2,y,-z+1/2'
'y+1/4,-x+1/4,z+3/4'
'-y+1/4,x+1/4,-z+3/4'
'x,-y,-z'
'-x,y,z'
'-y+1/4,-x+1/4,-z+3/4'
'y+1/4,x+1/4,z+3/4'
'-x+1/2,y,-z+1/2'
'x+1/2,-y,z+1/2'
'y+1/4,x+3/4,-z+1/4'
'-y+1/4,-x+3/4,z+1/4'
'x+1/2,y+1/2,z+1/2'
'-x+1/2,-y+1/2,-z+1/2'
'-y+3/4,x+1/4,z+3/4'
'y+3/4,-x+1/4,-z+3/4'
'-x,-y+1/2,z'
'x,y+1/2,-z'
'y+3/4,-x+3/4,z+1/4'
'-y+3/4,x+3/4,-z+1/4'
'x+1/2,-y+1/2,-z+1/2'
'-x+1/2,y+1/2,z+1/2'
'-y+3/4,-x+3/4,-z+1/4'
'y+3/4,x+3/4,z+1/4'
'-x,y+1/2,-z'
'x,-y+1/2,z'
'y+3/4,x+1/4,-z+3/4'
'-y+3/4,-x+1/4,z+3/4'
loop_
_atom_site_label
_atom_site_fract_x
_atom_site_fract_y
_atom_site_fract_z
_atom_site_occupancy
In1 0.000 0.000 0.000 1
B1 0.000 0.250 0.875 1
Os1 0.000 0.250 0.375 1
```

***

no.,N(E_F) (states/eV/f.u.)
1,6.70
2,0.90
3,9.30
4,2.12